Li2Mn3O4F3 | GGA+U | optimized geometry

Geometry as POSCAR:
```
Li2Mn3O4F3
1.0
6.223 0.000 0.000
-1.309 6.537 0.000
-3.105 -2.775 6.818
Li Mn O F
4 6 8 6
Direct
0.000 0.000 0.000
0.069 0.159 0.493
0.575 0.579 0.880
0.645 0.473 0.423
0.119 0.576 0.884
0.246 0.719 0.593
0.397 0.877 0.300
0.528 0.037 0.020
0.664 0.153 0.732
0.962 0.447 0.161
0.000 0.292 0.932
0.055 0.724 0.097
0.211 0.478 0.686
0.326 0.988 0.520
0.472 0.776 0.085
0.590 0.875 0.817
0.593 0.292 0.954
0.925 0.586 0.377
0.122 0.876 0.815
0.367 0.577 0.366
0.438 0.174 0.223
0.723 0.461 0.684
0.752 0.032 0.506
0.940 0.155 0.222
```

Results
The electronic total energy comes out at -6.3704 eV per atom. For the magnetic moment, the calculation gives 24.0 μB/cell.